1.
# TcNiAs2 (PBE, relaxed)
data_TcNiAs2
_symmetry_space_group_name_H-M 'P 1'
_symmetry_Int_Tables_number 1
_cell_length_a 6.157
_cell_length_b 6.157
_cell_length_c 6.157
_cell_angle_alpha 90.00
_cell_angle_beta 90.00
_cell_angle_gamma 90.00
loop_
_symmetry_equiv_pos_as_xyz
'x,y,z'
loop_
_atom_site_label
_atom_site_fract_x
_atom_site_fract_y
_atom_site_fract_z
Tc1 0.000 0.000 0.000
Tc2 0.000 0.500 0.500
Tc3 0.500 0.000 0.500
Tc4 0.500 0.500 0.000
Ni1 0.000 0.000 0.500
Ni2 0.000 0.500 0.000
Ni3 0.500 0.000 0.000
Ni4 0.500 0.500 0.500
As1 0.250 0.250 0.250
As2 0.250 0.250 0.750
As3 0.250 0.750 0.250
As4 0.250 0.750 0.750
As5 0.750 0.250 0.250
As6 0.750 0.250 0.750
As7 0.750 0.750 0.250
As8 0.750 0.750 0.750
# formation energy: 0.12 eV per atom
# symmetry: Fm-3m
# magnetic moment: 1.65 μB/f.u.


2.
# TcNi2As (PBE, relaxed)
data_TcNi2As
_symmetry_space_group_name_H-M 'P 1'
_symmetry_Int_Tables_number 1
_cell_length_a 5.958
_cell_length_b 5.958
_cell_length_c 5.958
_cell_angle_alpha 90.00
_cell_angle_beta 90.00
_cell_angle_gamma 90.00
loop_
_symmetry_equiv_pos_as_xyz
'x,y,z'
loop_
_atom_site_label
_atom_site_fract_x
_atom_site_fract_y
_atom_site_fract_z
Tc1 0.000 0.000 0.000
Tc2 0.000 0.500 0.500
Tc3 0.500 0.000 0.500
Tc4 0.500 0.500 0.000
Ni1 0.250 0.250 0.250
Ni2 0.250 0.250 0.750
Ni3 0.250 0.750 0.250
Ni4 0.250 0.750 0.750
Ni5 0.750 0.250 0.250
Ni6 0.750 0.250 0.750
Ni7 0.750 0.750 0.250
Ni8 0.750 0.750 0.750
As1 0.000 0.000 0.500
As2 0.000 0.500 0.000
As3 0.500 0.000 0.000
As4 0.500 0.500 0.500
# formation energy: 0.27 eV per atom
# symmetry: Fm-3m
# magnetic moment: 2.24 μB/f.u.


3.
# TcNiAs4 (PBE, relaxed)
data_TcNiAs4
_symmetry_space_group_name_H-M 'P 1'
_symmetry_Int_Tables_number 1
_cell_length_a 5.297
_cell_length_b 5.297
_cell_length_c 5.297
_cell_angle_alpha 60.00
_cell_angle_beta 60.00
_cell_angle_gamma 60.00
loop_
_symmetry_equiv_pos_as_xyz
'x,y,z'
loop_
_atom_site_label
_atom_site_fract_x
_atom_site_fract_y
_atom_site_fract_z
Tc1 0.000 0.000 0.000
Ni1 0.250 0.250 0.250
As1 0.124 0.625 0.625
As2 0.625 0.124 0.625
As3 0.625 0.625 0.124
As4 0.625 0.625 0.625
# formation energy: 0.90 eV per atom
# symmetry: F-43m
# magnetic moment: 0.58 μB/f.u.


4.
# TcNi2As (PBE, relaxed)
data_TcNi2As
_symmetry_space_group_name_H-M 'P 1'
_symmetry_Int_Tables_number 1
_cell_length_a 3.629
_cell_length_b 3.629
_cell_length_c 3.871
_cell_angle_alpha 90.00
_cell_angle_beta 90.00
_cell_angle_gamma 90.00
loop_
_symmetry_equiv_pos_as_xyz
'x,y,z'
loop_
_atom_site_label
_atom_site_fract_x
_atom_site_fract_y
_atom_site_fract_z
Tc1 0.000 0.000 0.000
Ni1 0.000 0.500 0.500
Ni2 0.500 0.000 0.500
As1 0.500 0.500 0.000
# formation energy: 0.02 eV per atom
# symmetry: P4/mmm
# magnetic moment: 0.50 μB/f.u.


Repeat the first record exactly.
# TcNiAs2 (PBE, relaxed)
data_TcNiAs2
_symmetry_space_group_name_H-M 'P 1'
_symmetry_Int_Tables_number 1
_cell_length_a 6.157
_cell_length_b 6.157
_cell_length_c 6.157
_cell_angle_alpha 90.00
_cell_angle_beta 90.00
_cell_angle_gamma 90.00
loop_
_symmetry_equiv_pos_as_xyz
'x,y,z'
loop_
_atom_site_label
_atom_site_fract_x
_atom_site_fract_y
_atom_site_fract_z
Tc1 0.000 0.000 0.000
Tc2 0.000 0.500 0.500
Tc3 0.500 0.000 0.500
Tc4 0.500 0.500 0.000
Ni1 0.000 0.000 0.500
Ni2 0.000 0.500 0.000
Ni3 0.500 0.000 0.000
Ni4 0.500 0.500 0.500
As1 0.250 0.250 0.250
As2 0.250 0.250 0.750
As3 0.250 0.750 0.250
As4 0.250 0.750 0.750
As5 0.750 0.250 0.250
As6 0.750 0.250 0.750
As7 0.750 0.750 0.250
As8 0.750 0.750 0.750
# formation energy: 0.12 eV per atom
# symmetry: Fm-3m
# magnetic moment: 1.65 μB/f.u.